(1)
A plane-wave DFT calculation with PBE was carried out for crystalline Si2IrPt at its relaxed geometry.

Properties
The calculation puts the energy at -6.665 eV per atom. The energy above the most stable polymorph in this dataset is 1.42 eV per formula unit. The value obtained for the uncorrected formation energy is -0.228 eV per atom.

The structure in CIF format:
```
data_Si2IrPt
_space_group_name_H-M_alt 'I -4 m 2'
_space_group_IT_number 119
_space_group_name_Hall 'I -4 -2'
_cell_length_a 3.621
_cell_length_b 3.621
_cell_length_c 8.627
_cell_angle_alpha 90.00
_cell_angle_beta 90.00
_cell_angle_gamma 90.00
loop_
_atom_site_label
_atom_site_type_symbol
_atom_site_fract_x
_atom_site_fract_y
_atom_site_fract_z
_atom_site_occupancy
Si1 Si 0.000 0.000 0.000 1
Si2 Si 0.000 0.500 0.250 1
Ir1 Ir 0.000 0.500 0.750 1
Pt1 Pt 0.000 0.000 0.500 1
```

=====

(2)
A plane-wave DFT calculation with PBE was carried out for crystalline Si2IrPt at its relaxed geometry.

Properties
The calculation puts the energy at -7.021 eV per atom. The energy above the most stable polymorph in this dataset is 0.00 eV per formula unit. The value obtained for the uncorrected formation energy is -0.584 eV per atom.

The structure in CIF format:
```
data_Si2IrPt
_space_group_name_H-M_alt 'P n m a'
_space_group_IT_number 62
_cell_length_a 11.588
_cell_length_b 3.490
_cell_length_c 5.957
_cell_angle_alpha 90.00
_cell_angle_beta 90.00
_cell_angle_gamma 90.00
loop_
_space_group_symop_operation_xyz
'x,y,z'
'-x,-y,-z'
'-x+1/2,-y,z+1/2'
'x+1/2,y,-z+1/2'
'x+1/2,-y+1/2,-z+1/2'
'-x+1/2,y+1/2,z+1/2'
'-x,y+1/2,-z'
'x,-y+1/2,z'
loop_
_atom_site_label
_atom_site_type_symbol
_atom_site_fract_x
_atom_site_fract_y
_atom_site_fract_z
_atom_site_occupancy
Si1 Si 0.050 0.250 0.149 1
Si2 Si 0.208 0.750 0.321 1
Ir1 Ir 0.147 0.750 0.936 1
Pt1 Pt 0.106 0.250 0.534 1
```

=====

(3)
A plane-wave DFT calculation with PBE was carried out for crystalline Si2IrPt at its relaxed geometry.

Properties
The calculation puts the energy at -6.760 eV per atom. The energy above the most stable polymorph in this dataset is 1.05 eV per formula unit. The value obtained for the uncorrected formation energy is -0.323 eV per atom.

The structure in CIF format:
```
data_Si2IrPt
_space_group_name_H-M_alt 'I -4 2 d'
_space_group_IT_number 122
_space_group_name_Hall 'I -4 2bw'
_cell_length_a 5.370
_cell_length_b 5.370
_cell_length_c 10.829
_cell_angle_alpha 90.00
_cell_angle_beta 90.00
_cell_angle_gamma 90.00
loop_
_atom_site_label
_atom_site_type_symbol
_atom_site_fract_x
_atom_site_fract_y
_atom_site_fract_z
_atom_site_occupancy
Si1 Si 0.243 0.250 0.125 1
Ir1 Ir 0.000 0.000 0.000 1
Pt1 Pt 0.000 0.000 0.500 1
```

=====

(4)
A plane-wave DFT calculation with PBE was carried out for crystalline Si2IrPt at its relaxed geometry.

Properties
The calculation puts the energy at -6.565 eV per atom. The energy above the most stable polymorph in this dataset is 1.83 eV per formula unit. The value obtained for the uncorrected formation energy is -0.128 eV per atom.

The structure in CIF format:
```
data_Si2IrPt
_space_group_name_H-M_alt 'P 4 m m'
_space_group_IT_number 99
_cell_length_a 2.837
_cell_length_b 2.837
_cell_length_c 7.425
_cell_angle_alpha 90.00
_cell_angle_beta 90.00
_cell_angle_gamma 90.00
loop_
_space_group_symop_operation_xyz
'x,y,z'
'-y,x,z'
'-x,-y,z'
'y,-x,z'
'-x,y,z'
'y,x,z'
'x,-y,z'
'-y,-x,z'
loop_
_atom_site_label
_atom_site_type_symbol
_atom_site_fract_x
_atom_site_fract_y
_atom_site_fract_z
_atom_site_occupancy
Si1 Si 0.000 0.000 0.000 1
Si2 Si 0.500 0.500 0.300 1
Ir1 Ir 0.000 0.000 0.492 1
Pt1 Pt 0.500 0.500 0.788 1
```

=====

(5)
A plane-wave DFT calculation with PBE was carried out for crystalline SiIr2Pt at its relaxed geometry.

Properties
The calculation puts the energy at -7.320 eV per atom. The value obtained for the uncorrected formation energy is -0.024 eV per atom.

The structure in CIF format:
```
data_SiIr2Pt
_space_group_name_H-M_alt 'P m m m'
_space_group_IT_number 47
_cell_length_a 2.737
_cell_length_b 4.574
_cell_length_c 4.698
_cell_angle_alpha 90.00
_cell_angle_beta 90.00
_cell_angle_gamma 90.00
loop_
_space_group_symop_operation_xyz
'x,y,z'
'-x,-y,-z'
'-x,-y,z'
'x,y,-z'
'x,-y,-z'
'-x,y,z'
'-x,y,-z'
'x,-y,z'
loop_
_atom_site_label
_atom_site_type_symbol
_atom_site_fract_x
_atom_site_fract_y
_atom_site_fract_z
_atom_site_occupancy
Si1 Si 0.000 0.000 0.000 1
Ir1 Ir 0.000 0.500 0.500 1
Ir2 Ir 0.500 0.500 0.000 1
Pt1 Pt 0.500 0.000 0.500 1
```

=====

(6)
A plane-wave DFT calculation with PBE was carried out for crystalline SiIrPt2 at its relaxed geometry.

Properties
The calculation puts the energy at -6.933 eV per atom. The value obtained for the uncorrected formation energy is -0.342 eV per atom.

The structure in CIF format:
```
data_SiIrPt2
_space_group_name_H-M_alt 'A m m 2'
_space_group_IT_number 38
_cell_length_a 3.702
_cell_length_b 2.849
_cell_length_c 11.303
_cell_angle_alpha 90.00
_cell_angle_beta 90.00
_cell_angle_gamma 90.00
loop_
_space_group_symop_operation_xyz
'x,y,z'
'-x,-y,z'
'-x,y,z'
'x,-y,z'
'x,y+1/2,z+1/2'
'-x,-y+1/2,z+1/2'
'-x,y+1/2,z+1/2'
'x,-y+1/2,z+1/2'
loop_
_atom_site_label
_atom_site_type_symbol
_atom_site_fract_x
_atom_site_fract_y
_atom_site_fract_z
_atom_site_occupancy
Si1 Si 0.000 0.000 0.000 1
Ir1 Ir 0.500 0.000 0.578 1
Pt1 Pt 0.000 0.000 0.222 1
Pt2 Pt 0.500 0.000 0.857 1
```

=====

(7)
A plane-wave DFT calculation with PBE was carried out for crystalline SiIrPt2 at its relaxed geometry.

Properties
The calculation puts the energy at -6.642 eV per atom. The value obtained for the uncorrected formation energy is -0.051 eV per atom.

The structure in CIF format:
```
data_SiIrPt2
_space_group_name_H-M_alt 'I 4/m m m'
_space_group_IT_number 139
_space_group_name_Hall '-I 4 2'
_cell_length_a 3.890
_cell_length_b 3.890
_cell_length_c 7.785
_cell_angle_alpha 90.00
_cell_angle_beta 90.00
_cell_angle_gamma 90.00
loop_
_atom_site_label
_atom_site_type_symbol
_atom_site_fract_x
_atom_site_fract_y
_atom_site_fract_z
_atom_site_occupancy
Si1 Si 0.000 0.000 0.000 1
Ir1 Ir 0.000 0.000 0.500 1
Pt1 Pt 0.000 0.500 0.250 1
```

=====

(8)
A plane-wave DFT calculation with PBE was carried out for crystalline SiIrPt2 at its relaxed geometry.

Properties
The calculation puts the energy at -6.905 eV per atom. The value obtained for the uncorrected formation energy is -0.314 eV per atom.

The structure in CIF format:
```
data_SiIrPt2
_space_group_name_H-M_alt 'P 4 m m'
_space_group_IT_number 99
_cell_length_a 2.860
_cell_length_b 2.860
_cell_length_c 7.130
_cell_angle_alpha 90.00
_cell_angle_beta 90.00
_cell_angle_gamma 90.00
loop_
_space_group_symop_operation_xyz
'x,y,z'
'-y,x,z'
'-x,-y,z'
'y,-x,z'
'-x,y,z'
'y,x,z'
'x,-y,z'
'-y,-x,z'
loop_
_atom_site_label
_atom_site_type_symbol
_atom_site_fract_x
_atom_site_fract_y
_atom_site_fract_z
_atom_site_occupancy
Si1 Si 0.000 0.000 0.000 1
Ir1 Ir 0.500 0.500 0.200 1
Pt1 Pt 0.000 0.000 0.488 1
Pt2 Pt 0.500 0.500 0.783 1
```

=====

(9)
A plane-wave DFT calculation with PBE was carried out for crystalline Si2IrPt at its relaxed geometry.

Properties
The calculation puts the energy at -6.683 eV per atom. The energy above the most stable polymorph in this dataset is 1.35 eV per formula unit. The value obtained for the uncorrected formation energy is -0.246 eV per atom.

The structure in CIF format:
```
data_Si2IrPt
_space_group_name_H-M_alt 'P 1 2/m 1'
_space_group_IT_number 10
_cell_length_a 2.856
_cell_length_b 3.131
_cell_length_c 6.290
_cell_angle_alpha 90.00
_cell_angle_beta 90.57
_cell_angle_gamma 90.00
loop_
_space_group_symop_operation_xyz
'x,y,z'
'-x,-y,-z'
'-x,y,-z'
'x,-y,z'
loop_
_atom_site_label
_atom_site_type_symbol
_atom_site_fract_x
_atom_site_fract_y
_atom_site_fract_z
_atom_site_occupancy
Si1 Si 0.003 0.000 0.242 1
Ir1 Ir 0.500 0.500 0.000 1
Pt1 Pt 0.500 0.500 0.500 1
```

=====

(10)
A plane-wave DFT calculation with PBE was carried out for crystalline SiIr2Pt at its relaxed geometry.

Properties
The calculation puts the energy at -7.526 eV per atom. The value obtained for the uncorrected formation energy is -0.230 eV per atom.

The structure in CIF format:
```
data_SiIr2Pt
_space_group_name_H-M_alt 'P 4/m m m'
_space_group_IT_number 123
_space_group_name_Hall '-P 4 2'
_cell_length_a 3.889
_cell_length_b 3.889
_cell_length_c 3.775
_cell_angle_alpha 90.00
_cell_angle_beta 90.00
_cell_angle_gamma 90.00
loop_
_atom_site_label
_atom_site_type_symbol
_atom_site_fract_x
_atom_site_fract_y
_atom_site_fract_z
_atom_site_occupancy
Si1 Si 0.000 0.000 0.000 1
Ir1 Ir 0.000 0.500 0.500 1
Pt1 Pt 0.500 0.500 0.000 1
```

=====

(11)
A plane-wave DFT calculation with PBE was carried out for crystalline SiIrPt2 at its relaxed geometry.

Properties
The calculation puts the energy at -6.709 eV per atom. The value obtained for the uncorrected formation energy is -0.118 eV per atom.

The structure in CIF format:
```
data_SiIrPt2
_space_group_name_H-M_alt 'I -4 m 2'
_space_group_IT_number 119
_space_group_name_Hall 'I -4 -2'
_cell_length_a 3.986
_cell_length_b 3.986
_cell_length_c 7.407
_cell_angle_alpha 90.00
_cell_angle_beta 90.00
_cell_angle_gamma 90.00
loop_
_atom_site_label
_atom_site_type_symbol
_atom_site_fract_x
_atom_site_fract_y
_atom_site_fract_z
_atom_site_occupancy
Si1 Si 0.000 0.000 0.000 1
Ir1 Ir 0.000 0.500 0.750 1
Pt1 Pt 0.000 0.000 0.500 1
Pt2 Pt 0.000 0.500 0.250 1
```

=====

(12)
A plane-wave DFT calculation with PBE was carried out for crystalline Si2IrPt at its relaxed geometry.

Properties
The calculation puts the energy at -6.646 eV per atom. The energy above the most stable polymorph in this dataset is 1.50 eV per formula unit. The value obtained for the uncorrected formation energy is -0.209 eV per atom.

The structure in CIF format:
```
data_Si2IrPt
_space_group_name_H-M_alt 'I 4/m m m'
_space_group_IT_number 139
_space_group_name_Hall '-I 4 2'
_cell_length_a 4.035
_cell_length_b 4.035
_cell_length_c 6.871
_cell_angle_alpha 90.00
_cell_angle_beta 90.00
_cell_angle_gamma 90.00
loop_
_atom_site_label
_atom_site_type_symbol
_atom_site_fract_x
_atom_site_fract_y
_atom_site_fract_z
_atom_site_occupancy
Si1 Si 0.000 0.500 0.250 1
Ir1 Ir 0.000 0.000 0.000 1
Pt1 Pt 0.000 0.000 0.500 1
```

=====

(13)
A plane-wave DFT calculation with PBE was carried out for crystalline SiIrPt2 at its relaxed geometry.

Properties
The calculation puts the energy at -6.579 eV per atom. The value obtained for the uncorrected formation energy is 0.013 eV per atom.

The structure in CIF format:
```
data_SiIrPt2
_space_group_name_H-M_alt 'C m m m'
_space_group_IT_number 65
_space_group_name_Hall '-C 2 2'
_cell_length_a 2.810
_cell_length_b 4.920
_cell_length_c 8.754
_cell_angle_alpha 90.00
_cell_angle_beta 90.00
_cell_angle_gamma 90.00
loop_
_atom_site_label
_atom_site_type_symbol
_atom_site_fract_x
_atom_site_fract_y
_atom_site_fract_z
_atom_site_occupancy
Si1 Si 0.000 0.000 0.000 1
Ir1 Ir 0.000 0.000 0.500 1
Pt1 Pt 0.000 0.500 0.225 1
```

=====

(14)
A plane-wave DFT calculation with PBE was carried out for crystalline SiIr2Pt at its relaxed geometry.

Properties
The calculation puts the energy at -7.602 eV per atom. The value obtained for the uncorrected formation energy is -0.306 eV per atom.

The structure in CIF format:
```
data_SiIr2Pt
_space_group_name_H-M_alt 'C 1 2/m 1'
_space_group_IT_number 12
_cell_length_a 10.434
_cell_length_b 2.817
_cell_length_c 4.349
_cell_angle_alpha 90.00
_cell_angle_beta 114.55
_cell_angle_gamma 90.00
loop_
_space_group_symop_operation_xyz
'x,y,z'
'-x,-y,-z'
'-x,y,-z'
'x,-y,z'
'x+1/2,y+1/2,z'
'-x+1/2,-y+1/2,-z'
'-x+1/2,y+1/2,-z'
'x+1/2,-y+1/2,z'
loop_
_atom_site_label
_atom_site_type_symbol
_atom_site_fract_x
_atom_site_fract_y
_atom_site_fract_z
_atom_site_occupancy
Si1 Si 0.000 0.000 0.000 1
Ir1 Ir 0.205 0.500 0.205 1
Pt1 Pt 0.000 0.500 0.500 1
```